Record 1
This record from the Alexandria database describes BPtSeBr2 after structural relaxation. The functional is GGA-PBE.

**Polymorph energy (0 for the lowest one)**: 0.00 kcal/mol of atoms
**Calculated volume**: 133 Å³ per cell

a = 5.2524 Å, b = 5.2524 Å, c = 4.8353 Å
α = 90.00°, β = 90.00°, γ = 90.00°
With the nearest neighbours (Å) after each atom.
Sites, in units of the cell vectors:
B: 0.0000 0.0000 0.0000  8 Br 3.57, 4 Se 3.71
Pt: 0.5000 0.5000 0.5000  2 Se 2.42, 4 Br 2.63
Se: 0.5000 0.5000 0.0000  2 Pt 2.42
Br: 0.0000 0.5000 0.5000  2 Pt 2.63
Br: 0.5000 0.0000 0.5000  2 Pt 2.63


Record 2
This record from the Alexandria database describes Nd2U2Te2S5 after structural relaxation. The functional is GGA-PBE.

**Calculated volume**: 351 Å³ per cell
**E_tot**: -74.040 eV per cell

a = 13.6076 Å, b = 13.6076 Å, c = 13.6076 Å
α = 158.07°, β = 158.07°, γ = 31.22°
With the nearest neighbours (Å) after each atom.
Sites, in units of the cell vectors:
Nd: 0.1657 0.1657 0.0000  4 S 2.96, 1 Te 3.16
Nd: 0.8343 0.8343 0.0000  4 S 2.96, 1 Te 3.16
U: 0.4021 0.4021 0.0000  5 S 2.56-2.61
U: 0.5979 0.5979 0.0000  5 S 2.56-2.61
Te: 0.2863 0.2863 0.0000  1 U 3.04, 1 Nd 3.16
Te: 0.7137 0.7137 0.0000  1 U 3.04, 1 Nd 3.16
S: 0.1114 0.6114 0.5000  2 U 2.61
S: 0.3886 0.8886 0.5000  2 U 2.61
S: 0.5000 0.5000 0.0000  2 U 2.56
S: 0.6114 0.1114 0.5000  2 U 2.61
S: 0.8886 0.3886 0.5000  2 U 2.61


Record 3
This record from the Alexandria database describes CsTaVRu2 after structural relaxation. The functional is GGA-PBE.

**Calculated volume**: 120 Å³ per cell
**Calculated formation energy**: 1.639 eV/atom

a = 4.9086 Å, b = 4.9086 Å, c = 4.9697 Å
α = 90.00°, β = 90.00°, γ = 90.00°
With the nearest neighbours (Å) after each atom.
Sites, in units of the cell vectors:
Cs: 0.0000 0.0000 0.0000  4 V 3.47, 8 Ru 3.49
Ta: 0.5000 0.5000 0.5000  4 Ru 2.45, 2 V 2.48
V: 0.5000 0.5000 0.0000  2 Ta 2.48
Ru: 0.0000 0.5000 0.5000  2 Ta 2.45
Ru: 0.5000 0.0000 0.5000  2 Ta 2.45